Below is a relaxed structure of K8Zr6BBr20, with properties calculated at the GGA-PBEsol level.

Computed properties:
* energy relative to the elements, uncorrected: -36.27 kcal/mol of atoms
* SG: No. 225
* magnetization: 0.002 μB/f.u.

abc: 11.4208 11.4208 11.4208
angles: 60.00 60.00 60.00
Closest atoms and distances in Å follow each position.
Element x y z (fractional)
K  0.6398  0.6398  0.6398  4 Br 3.08-3.26
K  0.6398  0.6398  0.0806  4 Br 3.08-3.26
K  0.6398  0.0806  0.6398  4 Br 3.08-3.26
K  0.0806  0.6398  0.6398  4 Br 3.08-3.26
K  0.3602  0.3602  0.9194  4 Br 3.08-3.26
K  0.3602  0.3602  0.3602  4 Br 3.08-3.26
K  0.3602  0.9194  0.3602  4 Br 3.08-3.26
K  0.9194  0.3602  0.3602  4 Br 3.08-3.26
Zr  0.1426  0.1426  0.8574  1 B 2.30
Zr  0.1426  0.8574  0.1426  1 B 2.30
Zr  0.8574  0.8574  0.1426  1 B 2.30
Zr  0.8574  0.1426  0.8574  1 B 2.30
Zr  0.1426  0.8574  0.8574  1 B 2.30
Zr  0.8574  0.1426  0.1426  1 B 2.30
B  0.0000  0.0000  0.0000  6 Zr 2.30
Br  0.0000  0.0000  0.3319  2 Zr 2.71
Br  0.3319  0.0000  0.6681  2 Zr 2.71
Br  0.3319  0.6681  0.0000  2 Zr 2.71
Br  0.0000  0.3319  0.0000  2 Zr 2.71
Br  0.0000  0.0000  0.6681  2 Zr 2.71
Br  0.0000  0.6681  0.0000  2 Zr 2.71
Br  0.6681  0.3319  0.0000  2 Zr 2.71
Br  0.6681  0.0000  0.3319  2 Zr 2.71
Br  0.0000  0.3319  0.6681  2 Zr 2.71
Br  0.3319  0.0000  0.0000  2 Zr 2.71
Br  0.0000  0.6681  0.3319  2 Zr 2.71
Br  0.6681  0.0000  0.0000  2 Zr 2.71
Br  0.3191  0.3191  0.6809  1 Zr 2.85
Br  0.3191  0.6809  0.3191  1 Zr 2.85
Br  0.6809  0.6809  0.3191  1 Zr 2.85
Br  0.6809  0.3191  0.6809  1 Zr 2.85
Br  0.3191  0.6809  0.6809  1 Zr 2.85
Br  0.6809  0.3191  0.3191  1 Zr 2.85
Br  0.7500  0.7500  0.7500  4 K 3.08
Br  0.2500  0.2500  0.2500  4 K 3.08

***

Below is a relaxed structure of AlCu3, with properties calculated at the GGA-PBEsol level.

Computed properties:
* energy relative to the elements: -0.6 eV per formula unit
* SG: No. 47
* magnetization: 0.000 μB/f.u.

abc: 2.7407 3.2563 5.3825
angles: 90.00 90.00 90.00
Closest atoms and distances in Å follow each position.
Element x y z (fractional)
Al  0.0000  0.0000  0.0000  10 Cu 2.54-2.69, 2 Al 2.74
Cu  0.5000  0.5000  0.7437  8 Cu 2.50-2.76, 4 Al 2.54
Cu  0.0000  0.0000  0.5000  10 Cu 2.50-2.74, 2 Al 2.69
Cu  0.5000  0.5000  0.2563  8 Cu 2.50-2.76, 4 Al 2.54

***

Below is a relaxed structure of YAl2Os, with properties calculated at the GGA-PBEsol level.

Computed properties:
* energy relative to the elements: 0.6 eV per formula unit
* SG: No. 160
* magnetization: 0.001 μB/f.u.

abc: 3.0301 3.0301 9.2383
angles: 80.56 80.56 60.00
Closest atoms and distances in Å follow each position.
Element x y z (fractional)
Y  0.2431  0.2431  0.2707  3 Os 2.89, 6 Y 3.03, 3 Al 3.18
Os  0.4921  0.4921  0.5238  3 Al 2.55
Al  0.0076  0.0076  0.9773  9 Al 2.86-3.03, 3 Y 3.18
Al  0.7573  0.7573  0.7282  3 Os 2.55

***

Below is a relaxed structure of SrHgSb, with properties calculated at the GGA-PBEsol level.

Computed properties:
* energy relative to the elements, uncorrected: -7.53 kcal/mol of atoms
* SG: No. 216
* magnetization: 0.000 μB/f.u.
* ΔE to the lowest computed polymorph: 315 meV/atom

abc: 5.2387 5.2387 5.2387
angles: 60.00 60.00 60.00
Closest atoms and distances in Å follow each position.
Element x y z (fractional)
Hg  0.0000  0.0000  0.0000  4 Sr 3.21
Sb  0.5000  0.5000  0.5000  4 Sr 3.21
Sr  0.2500  0.2500  0.2500  4 Sb 3.21, 4 Hg 3.21

***

Below is a relaxed structure of TlHRh3, with properties calculated at the GGA-PBEsol level.

Computed properties:
* SG: No. 221
* magnetization: 0.000 μB/f.u.
* ΔE to the lowest computed polymorph: 0 meV/atom

abc: 3.9781 3.9781 3.9781
angles: 90.00 90.00 90.00
Closest atoms and distances in Å follow each position.
Element x y z (fractional)
H  0.0000  0.0000  0.0000  6 Rh 1.99
Tl  0.5000  0.5000  0.5000  12 Rh 2.81
Rh  0.0000  0.5000  0.0000  2 H 1.99
Rh  0.0000  0.0000  0.5000  2 H 1.99
Rh  0.5000  0.0000  0.0000  2 H 1.99

***

Below is a relaxed structure of Li3Mn4P6O24, with properties calculated at the GGA-PBEsol level.

Computed properties:
* energy relative to the elements, uncorrected: -46.55 kcal/mol of atoms
* SG: No. 2
* magnetization: 13.039 μB/f.u.

abc: 6.1860 8.1724 8.5567
angles: 91.70 106.98 104.92
Closest atoms and distances in Å follow each position.
Element x y z (fractional)
Li  0.7676  0.7314  0.2954  4 O 1.94-2.14
Li  0.0000  0.5000  0.5000  6 O 2.00-2.21
Li  0.2324  0.2686  0.7046  4 O 1.94-2.14
Mn  0.3616  0.9413  0.6176  6 O 1.86-2.01
Mn  0.8676  0.6258  0.9421  6 O 1.84-2.04
Mn  0.1324  0.3742  0.0579  6 O 1.84-2.04
Mn  0.6384  0.0587  0.3824  6 O 1.86-2.01
P  0.2507  0.7108  0.2829  4 O 1.55-1.56
P  0.8760  0.8526  0.6527  4 O 1.48-1.61
P  0.3544  0.6442  0.8484  4 O 1.49-1.61
P  0.6456  0.3558  0.1516  4 O 1.49-1.61
P  0.1240  0.1474  0.3473  4 O 1.48-1.61
P  0.7493  0.2892  0.7171  4 O 1.55-1.56
O  0.1012  0.9966  0.6564  1 P 1.57
O  0.6717  0.9467  0.5907  1 P 1.61
O  0.0254  0.7415  0.1614  1 P 1.56
O  0.4793  0.8323  0.2659  1 P 1.55
O  0.3787  0.8281  0.8041  1 P 1.54
O  0.2343  0.7351  0.4596  1 P 1.56
O  0.8939  0.8187  0.8328  1 P 1.55
O  0.8329  0.7013  0.5360  1 P 1.48
O  0.2625  0.5253  0.2518  1 P 1.56
O  0.1761  0.5986  0.9561  1 P 1.61
O  0.5964  0.6508  0.9755  1 P 1.56
O  0.2658  0.5114  0.7050  1 P 1.49
O  0.7342  0.4886  0.2950  1 P 1.49
O  0.4036  0.3492  0.0245  1 P 1.56
O  0.8239  0.4014  0.0439  1 P 1.61
O  0.7375  0.4747  0.7482  1 P 1.56
O  0.1671  0.2987  0.4640  1 P 1.48
O  0.1061  0.1813  0.1672  1 P 1.55
O  0.7657  0.2649  0.5404  1 P 1.56
O  0.6213  0.1719  0.1959  1 P 1.54
O  0.5207  0.1677  0.7341  1 P 1.55
O  0.9746  0.2585  0.8386  1 P 1.56
O  0.3283  0.0533  0.4093  1 P 1.61
O  0.8988  0.0034  0.3436  1 P 1.57

***

Below is a relaxed structure of TlGe2SeS, with properties calculated at the GGA-PBEsol level.

Computed properties:
* energy relative to the elements, uncorrected: 25.74 kcal/mol of atoms
* SG: No. 123
* magnetization: 0.002 μB/f.u.

abc: 5.0259 5.3797 5.3797
angles: 90.00 90.00 90.00
Closest atoms and distances in Å follow each position.
Element x y z (fractional)
S  0.5000  0.5000  0.5000  8 Ge 3.68, 4 Se 3.80
Tl  0.0000  0.0000  0.0000  2 Se 2.51, 4 Ge 2.69
Ge  0.0000  0.0000  0.5000  2 Tl 2.69
Ge  0.0000  0.5000  0.0000  2 Tl 2.69
Se  0.5000  0.0000  0.0000  2 Tl 2.51

***

Below is a relaxed structure of Rb8Zr6BeBr20, with properties calculated at the GGA-PBEsol level.

Computed properties:
* energy relative to the elements, uncorrected: -35.20 kcal/mol of atoms
* SG: No. 225
* magnetization: 0.000 μB/f.u.

abc: 11.7422 11.7422 11.7422
angles: 60.00 60.00 60.00
Closest atoms and distances in Å follow each position.
Element x y z (fractional)
Rb  0.9185  0.3605  0.3605  4 Br 3.18-3.37
Rb  0.0815  0.6395  0.6395  4 Br 3.18-3.37
Rb  0.3605  0.9185  0.3605  4 Br 3.18-3.37
Rb  0.3605  0.3605  0.9185  4 Br 3.18-3.37
Rb  0.6395  0.0815  0.6395  4 Br 3.18-3.37
Rb  0.6395  0.6395  0.0815  4 Br 3.18-3.37
Rb  0.3605  0.3605  0.3605  4 Br 3.18-3.37
Rb  0.6395  0.6395  0.6395  4 Br 3.18-3.37
Zr  0.8571  0.1429  0.1429  1 Be 2.37
Zr  0.1429  0.8571  0.8571  1 Be 2.37
Zr  0.8571  0.1429  0.8571  1 Be 2.37
Zr  0.1429  0.8571  0.1429  1 Be 2.37
Zr  0.8571  0.8571  0.1429  1 Be 2.37
Zr  0.1429  0.1429  0.8571  1 Be 2.37
Be  0.0000  0.0000  0.0000  6 Zr 2.37
Br  0.6756  0.0000  0.0000  2 Zr 2.71
Br  0.3244  0.0000  0.0000  2 Zr 2.71
Br  0.0000  0.6756  0.3244  2 Zr 2.71
Br  0.0000  0.3244  0.6756  2 Zr 2.71
Br  0.6756  0.0000  0.3244  2 Zr 2.71
Br  0.0000  0.3244  0.0000  2 Zr 2.71
Br  0.3244  0.0000  0.6756  2 Zr 2.71
Br  0.0000  0.6756  0.0000  2 Zr 2.71
Br  0.6756  0.3244  0.0000  2 Zr 2.71
Br  0.3244  0.6756  0.0000  2 Zr 2.71
Br  0.0000  0.0000  0.3244  2 Zr 2.71
Br  0.0000  0.0000  0.6756  2 Zr 2.71
Br  0.6860  0.3140  0.3140  1 Zr 2.84
Br  0.3140  0.6860  0.6860  1 Zr 2.84
Br  0.6860  0.3140  0.6860  1 Zr 2.84
Br  0.3140  0.6860  0.3140  1 Zr 2.84
Br  0.6860  0.6860  0.3140  1 Zr 2.84
Br  0.3140  0.3140  0.6860  1 Zr 2.84
Br  0.2500  0.2500  0.2500  4 Rb 3.18
Br  0.7500  0.7500  0.7500  4 Rb 3.18